VASP calculation (PBE) on a relaxed structure of ZrAs3Rh.

a = 4.769 Å, b = 4.769 Å, c = 4.769 Å
α = 90.00°, β = 90.00°, γ = 90.00°
Positions (direct):
1 Zr 0.000 0.000 0.000
2 As 0.000 0.500 0.500
3 As 0.500 0.000 0.500
4 As 0.500 0.500 0.000
5 Rh 0.500 0.500 0.500

Output
Total magnetization: 0.00 μB per formula unit
Formation energy from the elements: 1.456 eV/f.u.
DOS at the Fermi energy: 4.65 states/eV/cell

=====

VASP calculation (PBE) on a relaxed structure of Zr2AsRh.

a = 5.955 Å, b = 5.955 Å, c = 5.955 Å
α = 104.70°, β = 104.70°, γ = 119.49°
Positions (direct):
1 Zr 0.118 0.125 0.493
2 Zr 0.375 0.882 0.007
3 Zr 0.632 0.625 0.507
4 Zr 0.875 0.368 0.993
5 As 0.250 0.750 0.500
6 As 0.500 0.500 0.000
7 Rh 0.000 0.000 0.000
8 Rh 0.750 0.250 0.500

Output
Total magnetization: 0.00 μB per formula unit
Formation energy from the elements: -1.981 eV/f.u.
DOS at the Fermi energy: 5.37 states/eV/cell

=====

VASP calculation (PBE) on a relaxed structure of Zr2AsRh.

a = 3.516 Å, b = 3.516 Å, c = 5.968 Å
α = 90.00°, β = 90.00°, γ = 90.00°
Positions (direct):
1 Zr 0.000 0.000 0.249
2 Zr 0.000 0.000 0.751
3 As 0.500 0.500 0.000
4 Rh 0.500 0.500 0.500

Output
Total magnetization: 0.00 μB per formula unit
Formation energy from the elements: -2.942 eV/f.u.
DOS at the Fermi energy: 3.08 states/eV/cell

=====

VASP calculation (PBE) on a relaxed structure of ZrAs2Rh2.

a = 7.408 Å, b = 7.408 Å, c = 2.997 Å
α = 90.00°, β = 90.00°, γ = 90.00°
Positions (direct):
1 Zr 0.000 0.000 0.000
2 Zr 0.500 0.500 0.000
3 As 0.153 0.347 0.000
4 As 0.347 0.847 0.000
5 As 0.653 0.153 0.000
6 As 0.847 0.653 0.000
7 Rh 0.146 0.646 0.500
8 Rh 0.354 0.146 0.500
9 Rh 0.646 0.854 0.500
10 Rh 0.854 0.354 0.500

Output
Total magnetization: 0.00 μB per formula unit
Formation energy from the elements: -2.351 eV/f.u.
DOS at the Fermi energy: 7.63 states/eV/cell

=====

VASP calculation (PBE) on a relaxed structure of Zr2AsRh.

a = 3.700 Å, b = 3.700 Å, c = 5.716 Å
α = 90.00°, β = 90.00°, γ = 90.00°
Positions (direct):
1 Zr 0.000 0.000 0.000
2 Zr 0.500 0.500 0.338
3 As 0.000 0.000 0.493
4 Rh 0.500 0.500 0.838

Output
Total magnetization: 0.00 μB per formula unit
Formation energy from the elements: -2.661 eV/f.u.
DOS at the Fermi energy: 3.22 states/eV/cell

=====

VASP calculation (PBE) on a relaxed structure of Zr2AsRh.

a = 3.182 Å, b = 3.182 Å, c = 7.378 Å
α = 90.00°, β = 90.00°, γ = 96.68°
Positions (direct):
1 Zr 0.000 0.000 0.246
2 Zr 0.000 0.000 0.754
3 As 0.500 0.500 0.500
4 Rh 0.500 0.500 0.000

Output
Total magnetization: 0.00 μB per formula unit
Formation energy from the elements: -2.683 eV/f.u.
DOS at the Fermi energy: 3.98 states/eV/cell

=====

VASP calculation (PBE) on a relaxed structure of Zr2AsRh.

a = 4.507 Å, b = 4.507 Å, c = 3.621 Å
α = 90.00°, β = 90.00°, γ = 90.00°
Positions (direct):
1 Zr 0.000 0.500 0.000
2 Zr 0.500 0.000 0.000
3 As 0.000 0.000 0.500
4 Rh 0.500 0.500 0.500

Output
Total magnetization: 0.00 μB per formula unit
Formation energy from the elements: -2.798 eV/f.u.
DOS at the Fermi energy: 3.80 states/eV/cell

=====

VASP calculation (PBE) on a relaxed structure of Zr2AsRh.

a = 5.634 Å, b = 5.634 Å, c = 5.634 Å
α = 139.82°, β = 139.82°, γ = 58.12°
Positions (direct):
1 Zr 0.000 0.000 0.000
2 Zr 0.750 0.250 0.500
3 As 0.250 0.750 0.500
4 Rh 0.500 0.500 0.000

Output
Total magnetization: 0.00 μB per formula unit
Formation energy from the elements: -3.042 eV/f.u.
DOS at the Fermi energy: 1.91 states/eV/cell

=====

VASP calculation (PBE) on a relaxed structure of Zr2AsRh.

a = 4.701 Å, b = 4.701 Å, c = 4.701 Å
α = 60.00°, β = 60.00°, γ = 60.00°
Positions (direct):
1 Zr 0.000 0.000 0.000
2 Zr 0.250 0.250 0.250
3 As 0.750 0.750 0.750
4 Rh 0.500 0.500 0.500

Output
Total magnetization: 1.98 μB per formula unit
Formation energy from the elements: -0.805 eV/f.u.
DOS at the Fermi energy: 4.03 states/eV/cell

=====

VASP calculation (PBE) on a relaxed structure of As3Ru4.

a = 12.850 Å, b = 12.850 Å, c = 12.850 Å
α = 166.81°, β = 166.81°, γ = 18.70°
Positions (direct):
1 As 0.000 0.000 0.000
2 As 0.309 0.309 0.000
3 As 0.691 0.691 0.000
4 Ru 0.133 0.133 0.000
5 Ru 0.442 0.442 0.000
6 Ru 0.558 0.558 0.000
7 Ru 0.867 0.867 0.000

Output
Total magnetization: 0.00 μB per formula unit
Formation energy from the elements: 0.080 eV/f.u.
DOS at the Fermi energy: 6.68 states/eV/cell

=====

VASP calculation (PBE) on a relaxed structure of As4Ru3.

a = 5.335 Å, b = 5.335 Å, c = 4.793 Å
α = 90.00°, β = 90.00°, γ = 120.00°
Positions (direct):
1 As 0.000 0.000 0.248
2 As 0.000 0.000 0.752
3 As 0.333 0.667 0.500
4 As 0.667 0.333 0.500
5 Ru 0.000 0.500 0.000
6 Ru 0.500 0.000 0.000
7 Ru 0.500 0.500 0.000

Output
Total magnetization: 2.36 μB per formula unit
Formation energy from the elements: 3.879 eV/f.u.
DOS at the Fermi energy: 8.07 states/eV/cell

=====

VASP calculation (PBE) on a relaxed structure of As3Ru2.

a = 4.165 Å, b = 4.165 Å, c = 5.551 Å
α = 90.00°, β = 90.00°, γ = 120.00°
Positions (direct):
1 As 0.000 0.000 0.000
2 As 0.333 0.667 0.354
3 As 0.667 0.333 0.646
4 Ru 0.333 0.667 0.838
5 Ru 0.667 0.333 0.162

Output
Total magnetization: 0.00 μB per formula unit
Formation energy from the elements: -0.226 eV/f.u.
DOS at the Fermi energy: 1.64 states/eV/cell

=====

VASP calculation (PBE) on a relaxed structure of AsRu5.

a = 2.804 Å, b = 2.804 Å, c = 10.753 Å
α = 90.00°, β = 90.00°, γ = 90.00°
Positions (direct):
1 As 0.000 0.000 0.000
2 Ru 0.000 0.000 0.327
3 Ru 0.000 0.000 0.673
4 Ru 0.500 0.500 0.156
5 Ru 0.500 0.500 0.500
6 Ru 0.500 0.500 0.844

Output
Relative energy among the computed polymorphs: 0.34 eV/f.u.
Total magnetization: 0.00 μB per formula unit
Formation energy from the elements: 0.909 eV/f.u.
DOS at the Fermi energy: 6.56 states/eV/cell

=====

VASP calculation (PBE) on a relaxed structure of As7Ru6.

a = 9.120 Å, b = 9.120 Å, c = 9.120 Å
α = 34.21°, β = 34.21°, γ = 34.21°
Positions (direct):
1 As 0.000 0.000 0.000
2 As 0.083 0.083 0.572
3 As 0.083 0.572 0.083
4 As 0.428 0.917 0.917
5 As 0.572 0.083 0.083
6 As 0.917 0.428 0.917
7 As 0.917 0.917 0.428
8 Ru 0.168 0.168 0.168
9 Ru 0.326 0.326 0.326
10 Ru 0.446 0.446 0.446
11 Ru 0.554 0.554 0.554
12 Ru 0.674 0.674 0.674
13 Ru 0.832 0.832 0.832

Output
Total magnetization: 0.60 μB per formula unit
Formation energy from the elements: 7.857 eV/f.u.
DOS at the Fermi energy: 16.89 states/eV/cell